# 1
Material: BePt2
Method: DFT, SCAN
State: PBEsol geometry

Summary:
Space-group type = Cmcm
Total DFT energy (no corrections) = -3.5940 Ry/atom

abc: 2.7561 4.1478 6.7797
angles: 90.00 101.73 90.00
Last column: nearest neighbours and their distance in Å.
Element x y z (fractional)
Be 0.9315 0.2500 0.8630  8 Pt 2.33-2.49
Be 0.0685 0.7500 0.1370  8 Pt 2.33-2.49
Pt 0.5737 0.2500 0.1475  6 Be 2.34-2.49
Pt 0.2900 0.2500 0.5800  2 Be 2.33
Pt 0.4263 0.7500 0.8525  6 Be 2.34-2.49
Pt 0.7100 0.7500 0.4200  2 Be 2.33

=====

# 2
Material: MnAl2Zn
Method: DFT, SCAN
State: PBEsol geometry

Summary:
Space-group type = I-4m2
Total DFT energy (no corrections) = -0.8877 Ry/atom

abc: 3.6248 3.6248 4.7592
angles: 112.38 112.38 90.00
Last column: nearest neighbours and their distance in Å.
Element x y z (fractional)
Zn 0.2500 0.7500 0.5000  8 Al 2.56-2.70, 4 Mn 2.70
Mn 0.5000 0.5000 0.0000  8 Al 2.56-2.70, 4 Zn 2.70
Al 0.0000 0.0000 0.0000  4 Mn 2.56, 4 Zn 2.70, 4 Al 2.70
Al 0.7500 0.2500 0.5000  4 Zn 2.56, 4 Mn 2.70, 4 Al 2.70

=====

# 3
Material: Dy3Si6Pd20
Method: DFT, SCAN
State: PBEsol geometry

Summary:
Space-group type = Fm-3m
Total DFT energy (no corrections) = -2.2434 Ry/atom
E_form (uncorrected) = -20.83 kcal/mol of atoms

abc: 8.5737 8.5737 8.5737
angles: 60.00 60.00 60.00
Last column: nearest neighbours and their distance in Å.
Element x y z (fractional)
Dy 0.2500 0.2500 0.2500  4 Pd 2.80
Dy 0.7500 0.7500 0.7500  4 Pd 2.80
Dy 0.0000 0.0000 0.0000  12 Pd 2.97, 6 Si 3.24
Si 0.7326 0.2674 0.2674  8 Pd 2.39-2.45
Si 0.2674 0.7326 0.7326  8 Pd 2.39-2.45
Si 0.7326 0.2674 0.7326  8 Pd 2.39-2.45
Si 0.2674 0.7326 0.2674  8 Pd 2.39-2.45
Si 0.7326 0.7326 0.2674  8 Pd 2.39-2.45
Si 0.2674 0.2674 0.7326  8 Pd 2.39-2.45
Pd 0.8501 0.3833 0.3833  3 Si 2.45
Pd 0.1499 0.6167 0.6167  3 Si 2.45
Pd 0.3833 0.8501 0.3833  3 Si 2.45
Pd 0.3833 0.3833 0.8501  3 Si 2.45
Pd 0.6167 0.1499 0.6167  3 Si 2.45
Pd 0.6167 0.6167 0.1499  3 Si 2.45
Pd 0.3833 0.3833 0.3833  3 Si 2.45
Pd 0.6167 0.6167 0.6167  3 Si 2.45
Pd 0.6542 0.0000 0.0000  2 Si 2.39, 1 Pd 2.64
Pd 0.3458 0.0000 0.0000  2 Si 2.39, 1 Pd 2.64
Pd 0.0000 0.6542 0.3458  2 Si 2.39, 1 Pd 2.64
Pd 0.0000 0.3458 0.6542  2 Si 2.39, 1 Pd 2.64
Pd 0.6542 0.0000 0.3458  2 Si 2.39, 1 Pd 2.64
Pd 0.0000 0.3458 0.0000  2 Si 2.39, 1 Pd 2.64
Pd 0.3458 0.0000 0.6542  2 Si 2.39, 1 Pd 2.64
Pd 0.0000 0.6542 0.0000  2 Si 2.39, 1 Pd 2.64
Pd 0.6542 0.3458 0.0000  2 Si 2.39, 1 Pd 2.64
Pd 0.3458 0.6542 0.0000  2 Si 2.39, 1 Pd 2.64
Pd 0.0000 0.0000 0.3458  2 Si 2.39, 1 Pd 2.64
Pd 0.0000 0.0000 0.6542  2 Si 2.39, 1 Pd 2.64

=====

# 4
Material: Mn2AgCl
Method: DFT, SCAN
State: PBEsol geometry

Summary:
Space-group type = R-3m
Total DFT energy (no corrections) = -1.4081 Ry/atom
E_form (uncorrected) = -4.47 kcal/mol of atoms

abc: 3.0270 3.0270 8.2675
angles: 79.45 79.45 60.00
Last column: nearest neighbours and their distance in Å.
Element x y z (fractional)
Mn 0.2544 0.2544 0.2367  3 Cl 2.59, 3 Ag 2.75
Mn 0.7456 0.7456 0.7633  3 Cl 2.59, 3 Ag 2.75
Ag 0.5000 0.5000 0.5000  6 Mn 2.75, 6 Ag 3.03
Cl 0.0000 0.0000 0.0000  6 Mn 2.59

=====

# 5
Material: KGe
Method: DFT, SCAN
State: PBEsol geometry

Summary:
Space-group type = I4_1/acd
Total DFT energy (no corrections) = -1.0267 Ry/atom

abc: 10.5853 11.4227 10.5853
angles: 62.40 90.00 117.60
Last column: nearest neighbours and their distance in Å.
Element x y z (fractional)
K 0.7656 0.2500 0.1250  8 Ge 3.50-3.57, 4 K 3.58-3.77
K 0.2656 0.2500 0.1250  8 Ge 3.50-3.57, 4 K 3.58-3.77
K 0.6250 0.7500 0.7656  8 Ge 3.50-3.57, 4 K 3.58-3.77
K 0.1250 0.7500 0.9844  8 Ge 3.50-3.57, 4 K 3.58-3.77
K 0.9844 0.2500 0.6250  8 Ge 3.50-3.57, 4 K 3.58-3.77
K 0.4844 0.2500 0.6250  8 Ge 3.50-3.57, 4 K 3.58-3.77
K 0.6250 0.7500 0.2656  8 Ge 3.50-3.57, 4 K 3.58-3.77
K 0.1250 0.7500 0.4844  8 Ge 3.50-3.57, 4 K 3.58-3.77
K 0.8718 0.5000 0.3718  6 Ge 3.46-3.61, 5 K 3.58-3.77
K 0.3718 0.5000 0.6282  6 Ge 3.46-3.61, 5 K 3.58-3.77
K 0.1218 0.0000 0.6218  6 Ge 3.46-3.61, 5 K 3.58-3.77
K 0.6218 0.0000 0.8782  6 Ge 3.46-3.61, 5 K 3.58-3.77
K 0.8782 0.0000 0.3782  6 Ge 3.46-3.61, 5 K 3.58-3.77
K 0.3782 0.0000 0.1218  6 Ge 3.46-3.61, 5 K 3.58-3.77
K 0.6282 0.5000 0.1282  6 Ge 3.46-3.61, 5 K 3.58-3.77
K 0.1282 0.5000 0.8718  6 Ge 3.46-3.61, 5 K 3.58-3.77
Ge 0.5094 0.8942 0.4483  3 Ge 2.58
Ge 0.0094 0.8942 0.1575  3 Ge 2.58
Ge 0.5925 0.3942 0.8652  3 Ge 2.58
Ge 0.0925 0.3942 0.2406  3 Ge 2.58
Ge 0.2406 0.6058 0.3017  3 Ge 2.58
Ge 0.7406 0.6058 0.5925  3 Ge 2.58
Ge 0.1575 0.1058 0.8848  3 Ge 2.58
Ge 0.6575 0.1058 0.5094  3 Ge 2.58
Ge 0.8848 0.8942 0.9483  3 Ge 2.58
Ge 0.3848 0.8942 0.6575  3 Ge 2.58
Ge 0.3017 0.3942 0.3652  3 Ge 2.58
Ge 0.8017 0.3942 0.7406  3 Ge 2.58
Ge 0.8652 0.6058 0.8017  3 Ge 2.58
Ge 0.3652 0.6058 0.0925  3 Ge 2.58
Ge 0.4483 0.1058 0.3848  3 Ge 2.58
Ge 0.9483 0.1058 0.0094  3 Ge 2.58

=====

# 6
Material: K2Zn5As4
Method: DFT, SCAN
State: PBEsol geometry

Summary:
Space-group type = Cmcm
Total DFT energy (no corrections) = -1.1320 Ry/atom

abc: 6.7309 6.7309 11.5274
angles: 90.00 90.00 117.30
Last column: nearest neighbours and their distance in Å.
Element x y z (fractional)
K 0.7858 0.2142 0.5000  6 As 3.33-3.71, 6 Zn 3.41-3.68, 2 K 3.60
K 0.7858 0.2142 0.0000  6 As 3.33-3.71, 6 Zn 3.41-3.68, 2 K 3.60
K 0.2142 0.7858 0.5000  6 As 3.33-3.71, 6 Zn 3.41-3.68, 2 K 3.60
K 0.2142 0.7858 0.0000  6 As 3.33-3.71, 6 Zn 3.41-3.68, 2 K 3.60
Zn 0.2483 0.5334 0.7500  4 As 2.46-2.59
Zn 0.4666 0.7517 0.2500  4 As 2.46-2.59
Zn 0.7517 0.4666 0.2500  4 As 2.46-2.59
Zn 0.5334 0.2483 0.7500  4 As 2.46-2.59
Zn 0.6530 0.6530 0.6090  4 As 2.44-2.65
Zn 0.3470 0.3470 0.3910  4 As 2.44-2.65
Zn 0.6530 0.6530 0.8910  4 As 2.44-2.65
Zn 0.3470 0.3470 0.1090  4 As 2.44-2.65
Zn 0.0071 0.0071 0.7500  4 As 2.52-2.57
Zn 0.9929 0.9929 0.2500  4 As 2.52-2.57
As 0.9185 0.6004 0.7500  5 Zn 2.46-2.59
As 0.3996 0.0815 0.2500  5 Zn 2.46-2.59
As 0.0815 0.3996 0.2500  5 Zn 2.46-2.59
As 0.6004 0.9185 0.7500  5 Zn 2.46-2.59
As 0.2756 0.2756 0.5985  5 Zn 2.44-2.65
As 0.7244 0.7244 0.4015  5 Zn 2.44-2.65
As 0.2756 0.2756 0.9015  5 Zn 2.44-2.65
As 0.7244 0.7244 0.0985  5 Zn 2.44-2.65

=====

# 7
Material: CoPb
Method: DFT, SCAN
State: PBEsol geometry

Summary:
Space-group type = P-3m1
Total DFT energy (no corrections) = -3.3829 Ry/atom

abc: 3.4777 3.4777 7.7871
angles: 90.00 90.00 120.00
Last column: nearest neighbours and their distance in Å.
Element x y z (fractional)
Pb 0.3333 0.6667 0.6889  4 Co 2.80-2.89
Pb 0.6667 0.3333 0.3111  4 Co 2.80-2.89
Co 0.3333 0.6667 0.0601  3 Co 2.22
Co 0.6667 0.3333 0.9399  3 Co 2.22

=====

# 8
Material: SrV3O7
Method: DFT, SCAN
State: PBEsol geometry

Summary:
Space-group type = Pmmn
Total DFT energy (no corrections) = -0.9998 Ry/atom
E_form (uncorrected) = -65.55 kcal/mol of atoms

abc: 5.2430 5.4067 10.4085
angles: 90.00 90.00 90.00
Last column: nearest neighbours and their distance in Å.
Element x y z (fractional)
Sr 0.0000 0.6446 0.0000  6 O 2.42-2.59
Sr 0.5000 0.3554 0.5000  6 O 2.42-2.59
V 0.5000 0.0918 0.0000  1 O 1.63
V 0.5000 0.8782 0.7323  1 O 1.62
V 0.5000 0.8782 0.2677  1 O 1.62
V 0.0000 0.9082 0.5000  1 O 1.63
V 0.0000 0.1218 0.7677  1 O 1.62
V 0.0000 0.1218 0.2323  1 O 1.62
O 0.5000 0.3941 0.0000  1 V 1.63
O 0.0000 0.6059 0.5000  1 V 1.63
O 0.0000 0.4159 0.7998  1 V 1.62
O 0.5000 0.5841 0.7002  1 V 1.62
O 0.5000 0.5841 0.2998  1 V 1.62
O 0.0000 0.4159 0.2002  1 V 1.62
O 0.2646 0.9619 0.8699  3 V 1.94-1.96
O 0.7646 0.0381 0.6301  3 V 1.94-1.96
O 0.2354 0.0381 0.3699  3 V 1.94-1.96
O 0.7354 0.9619 0.1301  3 V 1.94-1.96
O 0.2354 0.0381 0.6301  3 V 1.94-1.96
O 0.7354 0.9619 0.8699  3 V 1.94-1.96
O 0.2646 0.9619 0.1301  3 V 1.94-1.96
O 0.7646 0.0381 0.3699  3 V 1.94-1.96

=====

# 9
Material: Li2ZnNi
Method: DFT, SCAN
State: PBEsol geometry

Summary:
Space-group type = Cmmm
Total DFT energy (no corrections) = -0.6357 Ry/atom

abc: 2.5093 2.5093 8.6701
angles: 90.00 90.00 114.99
Last column: nearest neighbours and their distance in Å.
Element x y z (fractional)
Ni 0.5000 0.5000 0.5000  4 Li 2.42, 6 Ni 2.51-2.70
Zn 0.5000 0.5000 0.0000  6 Zn 2.51-2.70, 4 Li 2.69
Li 0.0000 0.0000 0.2679  2 Ni 2.42, 6 Li 2.51-2.70, 2 Zn 2.69
Li 0.0000 0.0000 0.7321  2 Ni 2.42, 6 Li 2.51-2.70, 2 Zn 2.69

=====

# 10
Material: CoNi2Se
Method: DFT, SCAN
State: PBEsol geometry

Summary:
Space-group type = Imm2
Total DFT energy (no corrections) = -1.2650 Ry/atom
E_form (uncorrected) = 5.09 kcal/mol of atoms

abc: 3.3526 3.7701 4.4328
angles: 115.17 112.22 90.00
Last column: nearest neighbours and their distance in Å.
Element x y z (fractional)
Ni 0.0003 0.0003 0.0006  4 Co 2.52-2.59, 4 Ni 2.52-2.59, 4 Se 2.52
Ni 0.2300 0.7300 0.4600  2 Se 2.38, 4 Ni 2.52-2.59, 4 Co 2.54
Co 0.7710 0.2710 0.5421  2 Se 2.36, 8 Ni 2.52-2.59
Se 0.4987 0.4987 0.9974  2 Co 2.36, 6 Ni 2.38-2.52

=====

# 11
Material: Cr2CuSb
Method: DFT, SCAN
State: PBEsol geometry

Summary:
Space-group type = R-3m
Total DFT energy (no corrections) = -1.6041 Ry/atom
E_form (uncorrected) = 11.12 kcal/mol of atoms

abc: 3.1296 3.1296 7.8544
angles: 78.51 78.51 60.00
Last column: nearest neighbours and their distance in Å.
Element x y z (fractional)
Cr 0.2570 0.2570 0.2291  3 Cu 2.52, 3 Sb 2.75
Cr 0.7430 0.7430 0.7709  3 Cu 2.52, 3 Sb 2.75
Cu 0.0000 0.0000 0.0000  6 Cr 2.52
Sb 0.5000 0.5000 0.5000  6 Cr 2.75

=====

# 12
Material: CrCo2Rh
Method: DFT, SCAN
State: PBEsol geometry

Summary:
Space-group type = Pmm2
Total DFT energy (no corrections) = -1.5888 Ry/atom

abc: 2.5528 3.4800 5.0785
angles: 90.00 90.00 90.00
Last column: nearest neighbours and their distance in Å.
Element x y z (fractional)
Rh 0.5000 0.5000 0.7484  6 Co 2.52-2.58, 4 Cr 2.55, 2 Rh 2.55
Co 0.0000 0.0000 0.0253  1 Cr 2.32, 6 Co 2.43-2.55, 4 Rh 2.58
Co 0.5000 0.5000 0.2444  6 Co 2.43-2.55, 4 Cr 2.47, 2 Rh 2.52-2.56
Cr 0.0000 0.0000 0.4820  5 Co 2.32-2.47, 4 Rh 2.55, 2 Cr 2.55

=====

> Which value of total DFT energy (no corrections) does entry 1 give?

-3.5940 Ry/atom

=====

Copy entry 10 word for word.
Material: CoNi2Se
Method: DFT, SCAN
State: PBEsol geometry

Summary:
Space-group type = Imm2
Total DFT energy (no corrections) = -1.2650 Ry/atom
E_form (uncorrected) = 5.09 kcal/mol of atoms

abc: 3.3526 3.7701 4.4328
angles: 115.17 112.22 90.00
Last column: nearest neighbours and their distance in Å.
Element x y z (fractional)
Ni 0.0003 0.0003 0.0006  4 Co 2.52-2.59, 4 Ni 2.52-2.59, 4 Se 2.52
Ni 0.2300 0.7300 0.4600  2 Se 2.38, 4 Ni 2.52-2.59, 4 Co 2.54
Co 0.7710 0.2710 0.5421  2 Se 2.36, 8 Ni 2.52-2.59
Se 0.4987 0.4987 0.9974  2 Co 2.36, 6 Ni 2.38-2.52

=====

Copy entry 12 word for word.
Material: CrCo2Rh
Method: DFT, SCAN
State: PBEsol geometry

Summary:
Space-group type = Pmm2
Total DFT energy (no corrections) = -1.5888 Ry/atom

abc: 2.5528 3.4800 5.0785
angles: 90.00 90.00 90.00
Last column: nearest neighbours and their distance in Å.
Element x y z (fractional)
Rh 0.5000 0.5000 0.7484  6 Co 2.52-2.58, 4 Cr 2.55, 2 Rh 2.55
Co 0.0000 0.0000 0.0253  1 Cr 2.32, 6 Co 2.43-2.55, 4 Rh 2.58
Co 0.5000 0.5000 0.2444  6 Co 2.43-2.55, 4 Cr 2.47, 2 Rh 2.52-2.56
Cr 0.0000 0.0000 0.4820  5 Co 2.32-2.47, 4 Rh 2.55, 2 Cr 2.55

=====

> Look up the total DFT energy (no corrections) of the second one.

-0.8877 Ry/atom